Record 1
VASP calculation (PBE-GGA) on a relaxed RbCaV crystal.

## Properties
Total moment ... 0.000 μB/f.u.
E above lowest polymorph ... 445 meV per atom
Energy of formation ... 0.911 eV per atom
Symmetry ... P-6m2, No. 187
V ... 44.04 A^3/atom

a = 5.894 Å, b = 5.894 Å, c = 8.785 Å
α = 90.00°, β = 90.00°, γ = 120.00°
Fractional positions:
V 0.000 0.000 0.603
Rb 0.667 0.333 0.000
Ca 0.333 0.667 0.302
V 0.000 0.000 0.397
Rb 0.667 0.333 0.500
Ca 0.333 0.667 0.698



Record 2
VASP calculation (PBE-GGA) on a relaxed RbCaV crystal.

## Properties
Total moment ... 4.259 μB/f.u.
E above lowest polymorph ... 620 meV per atom
Energy of formation ... 1.086 eV per atom
Symmetry ... P-6m2, No. 187
V ... 37.87 A^3/atom

a = 6.079 Å, b = 6.079 Å, c = 3.550 Å
α = 90.00°, β = 90.00°, γ = 120.00°
Site moments in Bohr magnetons follow the coordinates.
Fractional positions:
Ca 0.000 0.000 0.000  0.05
Rb 0.667 0.333 0.500  0.03
V 0.333 0.667 0.000  3.01



Record 3
VASP calculation (PBE-GGA) on a relaxed RbCaV crystal.

## Properties
Total moment ... 0.000 μB/f.u.
E above lowest polymorph ... 0 meV per atom
Energy of formation ... 0.466 eV per atom
Symmetry ... C2/m, No. 12
V ... 44.09 A^3/atom

a = 16.088 Å, b = 4.303 Å, c = 4.303 Å
α = 112.32°, β = 103.41°, γ = 76.59°
Fractional positions:
V 0.372 0.044 0.956
Ca 0.497 0.596 0.404
V 0.372 0.305 0.695
Rb 0.733 0.984 0.016
Ca 0.247 0.753 0.247
Rb 0.011 0.364 0.636



Record 4
VASP calculation (PBE-GGA) on a relaxed RbCaV crystal.

## Properties
Total moment ... 4.710 μB/f.u.
E above lowest polymorph ... 663 meV per atom
Energy of formation ... 1.129 eV per atom
Symmetry ... Cmcm, No. 63
V ... 40.40 A^3/atom

a = 9.933 Å, b = 7.558 Å, c = 6.457 Å
α = 90.00°, β = 90.00°, γ = 90.00°
Site moments in Bohr magnetons follow the coordinates.
Fractional positions:
Ca 0.500 0.000 0.500  0.09
Ca 0.000 0.500 0.000  0.09
V 0.288 0.250 0.000  3.14
V 0.788 0.250 0.500  3.14
V 0.712 0.750 0.000  3.14
Rb 0.856 0.750 0.500  0.05
Rb 0.144 0.250 0.500  0.05
Ca 0.500 0.500 0.500  0.09
Rb 0.644 0.250 0.000  0.05
Ca 0.000 0.000 0.000  0.09
V 0.212 0.750 0.500  3.14
Rb 0.356 0.750 0.000  0.05



Record 5
VASP calculation (PBE-GGA) on a relaxed RbCa3V crystal.

## Properties
Total moment ... 1.817 μB/f.u.
E above lowest polymorph ... 1023 meV per atom
Energy of formation ... 1.564 eV per atom
Symmetry ... Pm-3m, No. 221
V ... 40.83 A^3/atom

a = 5.888 Å, b = 5.888 Å, c = 5.888 Å
α = 90.00°, β = 90.00°, γ = 90.00°
Site moments in Bohr magnetons follow the coordinates.
Fractional positions:
V 0.500 0.500 0.500  2.99
Rb 0.000 0.000 0.000  -0.17
Ca 0.500 0.000 0.000  -0.16
Ca 0.000 0.000 0.500  -0.16
Ca 0.000 0.500 0.000  -0.16



Record 6
VASP calculation (PBE-GGA) on a relaxed RbCa3V crystal.

## Properties
Total moment ... 5.160 μB/f.u.
E above lowest polymorph ... 0 meV per atom
Energy of formation ... 0.541 eV per atom
Symmetry ... Pm-3m, No. 221
V ... 46.17 A^3/atom

a = 6.134 Å, b = 6.134 Å, c = 6.134 Å
α = 90.00°, β = 90.00°, γ = 90.00°
Site moments in Bohr magnetons follow the coordinates.
Fractional positions:
V 0.000 0.000 0.000  3.15
Rb 0.500 0.500 0.500  -0.01
Ca 0.000 0.500 0.000  0.12
Ca 0.500 0.000 0.000  0.12
Ca 0.000 0.000 0.500  0.12



Record 7
VASP calculation (PBE-GGA) on a relaxed RbCaV crystal.

## Properties
Total moment ... 5.041 μB/f.u.
E above lowest polymorph ... 496 meV per atom
Energy of formation ... 0.961 eV per atom
Symmetry ... P4/nmm, No. 129
V ... 44.42 A^3/atom

a = 5.227 Å, b = 5.227 Å, c = 9.754 Å
α = 90.00°, β = 90.00°, γ = 90.00°
Site moments in Bohr magnetons follow the coordinates.
Fractional positions:
Rb 0.500 0.000 0.856  0.03
Ca 0.500 0.500 0.500  0.18
V 0.000 0.500 0.704  3.21
Rb 0.000 0.500 0.144  0.03
V 0.500 0.000 0.296  3.21
Ca 0.000 0.000 0.500  0.18



Record 8
VASP calculation (PBE-GGA) on a relaxed RbCaV2 crystal.

## Properties
Total moment ... 8.770 μB/f.u.
E above lowest polymorph ... 132 meV per atom
Energy of formation ... 1.567 eV per atom
Symmetry ... I-42d, No. 122
V ... 33.26 A^3/atom

a = 9.122 Å, b = 9.122 Å, c = 7.200 Å
α = 50.69°, β = 50.69°, γ = 90.00°
Site moments in Bohr magnetons follow the coordinates.
Fractional positions:
V 0.875 0.859 0.750  3.07
V 0.375 0.391 0.750  3.07
Ca 0.250 0.750 0.500  0.16
Ca 0.500 0.500 0.000  0.16
V 0.141 0.625 0.250  3.07
Rb 0.750 0.250 0.500  0.07
Rb 0.000 0.000 0.000  0.07
V 0.609 0.125 0.250  3.07